## SmMgGa2Pd5 (GGA-PBE)

Data for an optimized crystal structure of SmMgGa2Pd5.

Cell lengths 4.180, 4.180, 9.308 Å; angles 90.00, 90.00, 90.00 degrees
Sites, in units of the cell vectors:
Sm (0.000, 0.000, 0.000)
Mg (0.000, 0.000, 0.500)
Ga (0.500, 0.500, 0.370)
Ga (0.500, 0.500, 0.630)
Pd (0.000, 0.500, 0.228)
Pd (0.000, 0.500, 0.772)
Pd (0.500, 0.000, 0.228)
Pd (0.500, 0.000, 0.772)
Pd (0.500, 0.500, 0.000)

Values from the calculation:
As for the formation energy: -0.654 eV per atom. As for the density of states at the Fermi level: 2.12 states/eV/cell. The value obtained for the magnetization is 0.000 μB per atom. The value obtained for the total DFT energy (no corrections) is -4.9132 eV per atom.

## Li3Cd4Rh2 (GGA-PBE)

Data for an optimized crystal structure of Li3Cd4Rh2.

Cell lengths 4.581, 4.581, 8.424 Å; angles 90.00, 90.00, 120.00 degrees
Sites, in units of the cell vectors:
Li (0.000, 0.000, 0.000)
Li (0.333, 0.667, 0.449)
Li (0.667, 0.333, 0.551)
Cd (0.000, 0.000, 0.327)
Cd (0.000, 0.000, 0.673)
Cd (0.333, 0.667, 0.113)
Cd (0.667, 0.333, 0.887)
Rh (0.333, 0.667, 0.779)
Rh (0.667, 0.333, 0.221)

Values from the calculation:
As for the formation energy: -0.254 eV per atom. As for the density of states at the Fermi level: 3.28 states/eV/cell. The value obtained for the magnetization is 0.000 μB per atom. The value obtained for the total DFT energy (no corrections) is -2.9323 eV per atom.

## KPt2Se (GGA-PBE)

Data for an optimized crystal structure of KPt2Se.

Cell lengths 4.813, 4.813, 4.813 Å; angles 60.00, 60.00, 60.00 degrees
Sites, in units of the cell vectors:
K (0.000, 0.000, 0.000)
Pt (0.500, 0.500, 0.500)
Pt (0.750, 0.750, 0.750)
Se (0.250, 0.250, 0.250)

Values from the calculation:
The calculation puts the uncorrected formation energy at 39.3 kJ per mole of atoms. As for the density of states at the Fermi level: 5.33 states/eV/cell. The value obtained for the magnetization is 0.000 μB per atom. The value obtained for the total DFT energy (no corrections) is -3.7589 eV per atom.

## TaTcHg2 (GGA-PBE)

Data for an optimized crystal structure of TaTcHg2.

Cell lengths 9.849, 9.849, 9.849 Å; angles 17.34, 17.34, 17.34 degrees
Sites, in units of the cell vectors:
Ta (0.000, 0.000, 0.000)
Tc (0.500, 0.500, 0.500)
Hg (0.247, 0.247, 0.247)
Hg (0.753, 0.753, 0.753)

Values from the calculation:
As for the formation energy: 0.553 eV per atom. As for the density of states at the Fermi level: 2.99 states/eV/cell. The value obtained for the magnetization is 0.051 μB per atom. The value obtained for the total DFT energy (no corrections) is -5.1521 eV per atom.

## BaAs3Ru (GGA-PBE)

Data for an optimized crystal structure of BaAs3Ru.

Cell lengths 5.642, 5.642, 5.642 Å; angles 90.00, 90.00, 90.00 degrees
Sites, in units of the cell vectors:
Ba (0.000, 0.000, 0.000)
As (0.000, 0.000, 0.500)
As (0.000, 0.500, 0.000)
As (0.500, 0.000, 0.000)
Ru (0.500, 0.500, 0.500)

Values from the calculation:
As for the formation energy: 2.088 eV per atom. As for the density of states at the Fermi level: 10.11 states/eV/cell. The value obtained for the magnetization is 0.010 μB per atom. The value obtained for the total DFT energy (no corrections) is -2.9415 eV per atom.

## TlFe2CoCl8 (GGA-PBE)

Data for an optimized crystal structure of TlFe2CoCl8.

Cell lengths 6.293, 6.293, 9.227 Å; angles 94.31, 94.31, 68.31 degrees
Sites, in units of the cell vectors:
Tl (0.000, 0.000, 0.000)
Fe (0.377, 0.377, 0.705)
Fe (0.623, 0.623, 0.295)
Co (0.000, 0.000, 0.500)
Cl (0.230, 0.230, 0.513)
Cl (0.235, 0.750, 0.306)
Cl (0.250, 0.765, 0.694)
Cl (0.306, 0.306, 0.923)
Cl (0.694, 0.694, 0.077)
Cl (0.750, 0.235, 0.306)
Cl (0.765, 0.250, 0.694)
Cl (0.770, 0.770, 0.487)

Values from the calculation:
The calculation puts the uncorrected formation energy at -72.1 kJ per mole of atoms. As for the density of states at the Fermi level: 6.78 states/eV/cell. The value obtained for the magnetization is 1.000 μB per atom. The value obtained for the total DFT energy (no corrections) is -4.1781 eV per atom.